First-principles (PBE-GGA) data for an optimized crystal structure of TiCd2Sn2, as listed in the Alexandria database.

Unit cell a=7.4842 b=7.4842 c=4.2989 alpha=90.00 beta=90.00 gamma=90.00
Fractional positions:
1 Ti 0.0000 0.0000 0.0000
2 Ti 0.5000 0.5000 0.0000
3 Cd 0.1613 0.3387 0.5000
4 Cd 0.3387 0.8387 0.5000
5 Cd 0.6613 0.1613 0.5000
6 Cd 0.8387 0.6613 0.5000
7 Sn 0.1466 0.6466 0.0000
8 Sn 0.3534 0.1466 0.0000
9 Sn 0.6466 0.8534 0.0000
10 Sn 0.8534 0.3534 0.0000

size of the total moment	0.19	μB/atom
raw total energy	-3.37	eV per atom
excess energy over the best structure of this formula in the dataset	0.000	kcal/mol of atoms


First-principles (PBE-GGA) data for an optimized crystal structure of Ti2CdSn, as listed in the Alexandria database.

Unit cell a=3.5957 b=3.5957 c=5.9563 alpha=90.00 beta=90.00 gamma=90.00
Fractional positions:
1 Ti 0.0000 0.0000 0.2368
2 Ti 0.0000 0.0000 0.7632
3 Cd 0.5000 0.5000 0.5000
4 Sn 0.5000 0.5000 0.0000

size of the total moment	0.00	μB/atom
raw total energy	-5.26	eV per atom


First-principles (PBE-GGA) data for an optimized crystal structure of Ti4CdSn, as listed in the Alexandria database.

Unit cell a=4.1770 b=13.0471 c=4.1040 alpha=90.00 beta=90.00 gamma=90.00
Fractional positions:
1 Ti 0.0000 0.1749 0.0000
2 Ti 0.0000 0.3243 0.5000
3 Ti 0.0000 0.6757 0.5000
4 Ti 0.0000 0.8251 0.0000
5 Ti 0.5000 0.1757 0.5000
6 Ti 0.5000 0.3251 0.0000
7 Ti 0.5000 0.6749 0.0000
8 Ti 0.5000 0.8243 0.5000
9 Cd 0.0000 0.5000 0.0000
10 Cd 0.5000 0.0000 0.0000
11 Sn 0.0000 0.0000 0.5000
12 Sn 0.5000 0.5000 0.5000

size of the total moment	0.00	μB/atom
raw total energy	-6.23	eV per atom


First-principles (PBE-GGA) data for an optimized crystal structure of Ti12CdSn6, as listed in the Alexandria database.

Unit cell a=7.8615 b=7.8615 c=7.8615 alpha=110.59 beta=110.59 gamma=110.59
Fractional positions:
1 Ti 0.0367 0.2943 0.1808
2 Ti 0.1808 0.0367 0.2943
3 Ti 0.2308 0.5946 0.6732
4 Ti 0.2943 0.1808 0.0367
5 Ti 0.3268 0.7692 0.4054
6 Ti 0.4054 0.3268 0.7692
7 Ti 0.5946 0.6732 0.2308
8 Ti 0.6732 0.2308 0.5946
9 Ti 0.7057 0.8192 0.9633
10 Ti 0.7692 0.4054 0.3268
11 Ti 0.8192 0.9633 0.7057
12 Ti 0.9633 0.7057 0.8192
13 Cd 0.5000 0.5000 0.5000
14 Sn 0.0841 0.8692 0.5762
15 Sn 0.1308 0.4238 0.9159
16 Sn 0.4238 0.9159 0.1308
17 Sn 0.5762 0.0841 0.8692
18 Sn 0.8692 0.5762 0.0841
19 Sn 0.9159 0.1308 0.4238

size of the total moment	0.14	μB/atom
raw total energy	-6.49	eV per atom


First-principles (PBE-GGA) data for an optimized crystal structure of TiCdSn3, as listed in the Alexandria database.

Unit cell a=5.3295 b=5.3295 c=5.3295 alpha=90.00 beta=90.00 gamma=90.00
Fractional positions:
1 Ti 0.0000 0.0000 0.0000
2 Cd 0.5000 0.5000 0.5000
3 Sn 0.0000 0.0000 0.5000
4 Sn 0.0000 0.5000 0.0000
5 Sn 0.5000 0.0000 0.0000

size of the total moment	0.00	μB/atom
raw total energy	-3.95	eV per atom
excess energy over the best structure of this formula in the dataset	0.000	kcal/mol of atoms


First-principles (PBE-GGA) data for an optimized crystal structure of TiCdSn3, as listed in the Alexandria database.

Unit cell a=5.4023 b=5.4023 c=5.4023 alpha=90.00 beta=90.00 gamma=90.00
Fractional positions:
1 Ti 0.0000 0.0000 0.0000
2 Cd 0.5000 0.5000 0.5000
3 Sn 0.0000 0.5000 0.5000
4 Sn 0.5000 0.0000 0.5000
5 Sn 0.5000 0.5000 0.0000

size of the total moment	0.00	μB/atom
raw total energy	-3.17	eV per atom
excess energy over the best structure of this formula in the dataset	18.109	kcal/mol of atoms


First-principles (PBE-GGA) data for an optimized crystal structure of Ti2CdSn2, as listed in the Alexandria database.

Unit cell a=7.4343 b=7.4343 c=3.8252 alpha=90.00 beta=90.00 gamma=90.00
Fractional positions:
1 Ti 0.1289 0.3711 0.0000
2 Ti 0.3711 0.8711 0.0000
3 Ti 0.6289 0.1289 0.0000
4 Ti 0.8711 0.6289 0.0000
5 Cd 0.0000 0.0000 0.0000
6 Cd 0.5000 0.5000 0.0000
7 Sn 0.1708 0.6708 0.5000
8 Sn 0.3292 0.1708 0.5000
9 Sn 0.6708 0.8292 0.5000
10 Sn 0.8292 0.3292 0.5000

size of the total moment	0.15	μB/atom
raw total energy	-5.04	eV per atom
excess energy over the best structure of this formula in the dataset	0.000	kcal/mol of atoms


First-principles (PBE-GGA) data for an optimized crystal structure of Ti12CdSn3, as listed in the Alexandria database.

Unit cell a=5.2312 b=5.2353 c=10.4571 alpha=90.00 beta=90.00 gamma=90.00
Fractional positions:
1 Ti 0.0000 0.0000 0.1221
2 Ti 0.0000 0.0000 0.3729
3 Ti 0.0000 0.0000 0.6271
4 Ti 0.0000 0.0000 0.8779
5 Ti 0.2501 0.5000 0.5000
6 Ti 0.2516 0.5000 0.0000
7 Ti 0.5000 0.2490 0.2498
8 Ti 0.5000 0.2490 0.7502
9 Ti 0.5000 0.7510 0.2498
10 Ti 0.5000 0.7510 0.7502
11 Ti 0.7484 0.5000 0.0000
12 Ti 0.7499 0.5000 0.5000
13 Cd 0.5000 0.0000 0.0000
14 Sn 0.0000 0.5000 0.2507
15 Sn 0.0000 0.5000 0.7493
16 Sn 0.5000 0.0000 0.5000

size of the total moment	0.00	μB/atom
raw total energy	-6.94	eV per atom


First-principles (PBE-GGA) data for an optimized crystal structure of Ti6CdSn2, as listed in the Alexandria database.

Unit cell a=8.3827 b=8.3827 c=8.3827 alpha=160.14 beta=122.39 gamma=61.56
Fractional positions:
1 Ti 0.1489 0.8279 0.3210
2 Ti 0.1686 0.0000 0.1686
3 Ti 0.4931 0.1721 0.3210
4 Ti 0.5069 0.8279 0.6790
5 Ti 0.8314 0.0000 0.8314
6 Ti 0.8511 0.1721 0.6790
7 Cd 0.5000 0.5000 0.0000
8 Sn 0.1534 0.6534 0.5000
9 Sn 0.8466 0.3466 0.5000

size of the total moment	0.11	μB/atom
raw total energy	-6.25	eV per atom


First-principles (PBE-GGA) data for an optimized crystal structure of Ti2Cd2Sn, as listed in the Alexandria database.

Unit cell a=7.0457 b=7.0457 c=4.3327 alpha=90.00 beta=90.00 gamma=90.00
Fractional positions:
1 Ti 0.1349 0.3651 0.0000
2 Ti 0.3651 0.8651 0.0000
3 Ti 0.6349 0.1349 0.0000
4 Ti 0.8651 0.6349 0.0000
5 Cd 0.1595 0.6595 0.5000
6 Cd 0.3405 0.1595 0.5000
7 Cd 0.6595 0.8405 0.5000
8 Cd 0.8405 0.3405 0.5000
9 Sn 0.0000 0.0000 0.0000
10 Sn 0.5000 0.5000 0.0000

size of the total moment	0.38	μB/atom
raw total energy	-4.23	eV per atom


First-principles (PBE-GGA) data for an optimized crystal structure of Ti2CdSn, as listed in the Alexandria database.

Unit cell a=7.5822 b=7.5822 c=5.7950 alpha=90.00 beta=90.00 gamma=90.00
Fractional positions:
1 Ti 0.2490 0.2500 0.1250
2 Ti 0.2500 0.7490 0.3750
3 Ti 0.2500 0.7510 0.8750
4 Ti 0.2510 0.2500 0.6250
5 Ti 0.7490 0.7500 0.6250
6 Ti 0.7500 0.2490 0.8750
7 Ti 0.7500 0.2510 0.3750
8 Ti 0.7510 0.7500 0.1250
9 Cd 0.0000 0.0000 0.5000
10 Cd 0.0000 0.5000 0.7500
11 Cd 0.5000 0.0000 0.2500
12 Cd 0.5000 0.5000 0.0000
13 Sn 0.0000 0.0000 0.0000
14 Sn 0.0000 0.5000 0.2500
15 Sn 0.5000 0.0000 0.7500
16 Sn 0.5000 0.5000 0.5000

size of the total moment	0.00	μB/atom
raw total energy	-4.96	eV per atom


First-principles (PBE-GGA) data for an optimized crystal structure of Ti12Cd3Sn5, as listed in the Alexandria database.

Unit cell a=13.8350 b=13.8350 c=13.8350 alpha=109.47 beta=109.47 gamma=109.47
Fractional positions:
1 Ti 0.0725 0.2278 0.1502
2 Ti 0.0725 0.3447 0.9223
3 Ti 0.0777 0.6502 0.4224
4 Ti 0.0776 0.7278 0.6553
5 Ti 0.0776 0.8498 0.4223
6 Ti 0.0777 0.9275 0.6553
7 Ti 0.1502 0.0725 0.2278
8 Ti 0.1502 0.5777 0.9224
9 Ti 0.1553 0.2278 0.5776
10 Ti 0.1553 0.4275 0.5777
11 Ti 0.2278 0.1502 0.0725
12 Ti 0.2278 0.5776 0.1553
13 Ti 0.2722 0.3447 0.9224
14 Ti 0.2722 0.4275 0.3498
15 Ti 0.3447 0.9223 0.0725
16 Ti 0.3447 0.9224 0.2722
17 Ti 0.3498 0.2722 0.4275
18 Ti 0.3498 0.5776 0.9223
19 Ti 0.4224 0.0777 0.6502
20 Ti 0.4223 0.0776 0.8498
21 Ti 0.4223 0.8447 0.5725
22 Ti 0.4224 0.8447 0.7722
23 Ti 0.4275 0.3498 0.2722
24 Ti 0.4275 0.5777 0.1553
25 Ti 0.5725 0.4223 0.8447
26 Ti 0.5725 0.6502 0.7278
27 Ti 0.5776 0.1553 0.2278
28 Ti 0.5777 0.1553 0.4275
29 Ti 0.5777 0.9224 0.1502
30 Ti 0.5776 0.9223 0.3498
31 Ti 0.6502 0.4224 0.0777
32 Ti 0.6502 0.7278 0.5725
33 Ti 0.6553 0.0776 0.7278
34 Ti 0.6553 0.0777 0.9275
35 Ti 0.7278 0.5725 0.6502
36 Ti 0.7278 0.6553 0.0776
37 Ti 0.7722 0.4224 0.8447
38 Ti 0.7722 0.8498 0.9275
39 Ti 0.8447 0.5725 0.4223
40 Ti 0.8447 0.7722 0.4224
41 Ti 0.8498 0.4223 0.0776
42 Ti 0.8498 0.9275 0.7722
43 Ti 0.9223 0.0725 0.3447
44 Ti 0.9224 0.1502 0.5777
45 Ti 0.9224 0.2722 0.3447
46 Ti 0.9223 0.3498 0.5776
47 Ti 0.9275 0.6553 0.0777
48 Ti 0.9275 0.7722 0.8498
49 Cd 0.1250 0.2500 0.3750
50 Cd 0.1250 0.3750 0.7500
51 Cd 0.2500 0.3750 0.1250
52 Cd 0.2500 0.8750 0.6250
53 Cd 0.3750 0.1250 0.2500
54 Cd 0.3750 0.7500 0.1250
55 Cd 0.6250 0.2500 0.8750
56 Cd 0.6250 0.8750 0.7500
57 Cd 0.7500 0.1250 0.3750
58 Cd 0.7500 0.6250 0.8750
59 Cd 0.8750 0.6250 0.2500
60 Cd 0.8750 0.7500 0.6250
61 Sn 0.0000 0.0000 0.0000
62 Sn 0.0000 0.0000 0.5000
63 Sn 0.0000 0.5000 0.0000
64 Sn 0.0000 0.5000 0.5000
65 Sn 0.1250 0.7500 0.8750
66 Sn 0.1250 0.8750 0.2500
67 Sn 0.2500 0.1250 0.8750
68 Sn 0.2500 0.6250 0.3750
69 Sn 0.3750 0.2500 0.6250
70 Sn 0.3750 0.6250 0.7500
71 Sn 0.5000 0.0000 0.0000
72 Sn 0.5000 0.0000 0.5000
73 Sn 0.5000 0.5000 0.0000
74 Sn 0.5000 0.5000 0.5000
75 Sn 0.6250 0.3750 0.2500
76 Sn 0.6250 0.7500 0.3750
77 Sn 0.7500 0.3750 0.6250
78 Sn 0.7500 0.8750 0.1250
79 Sn 0.8750 0.1250 0.7500
80 Sn 0.8750 0.2500 0.1250

size of the total moment	0.40	μB/atom
raw total energy	-5.27	eV per atom


First-principles (PBE-GGA) data for an optimized crystal structure of Ti2CdSn2, as listed in the Alexandria database.

Unit cell a=7.7031 b=7.7031 c=3.5442 alpha=90.00 beta=90.00 gamma=90.00
Fractional positions:
1 Ti 0.1498 0.3502 0.0000
2 Ti 0.3502 0.8502 0.0000
3 Ti 0.6498 0.1498 0.0000
4 Ti 0.8502 0.6498 0.0000
5 Cd 0.0000 0.0000 0.5000
6 Cd 0.5000 0.5000 0.5000
7 Sn 0.1463 0.6463 0.5000
8 Sn 0.3537 0.1463 0.5000
9 Sn 0.6463 0.8537 0.5000
10 Sn 0.8537 0.3537 0.5000

size of the total moment	0.00	μB/atom
raw total energy	-4.97	eV per atom
excess energy over the best structure of this formula in the dataset	1.513	kcal/mol of atoms


First-principles (PBE-GGA) data for an optimized crystal structure of Ti2TlCdSn, as listed in the Alexandria database.

Unit cell a=5.1390 b=5.1390 c=5.1836 alpha=90.00 beta=90.00 gamma=90.00
Fractional positions:
1 Ti 0.0000 0.5000 0.0000
2 Ti 0.5000 0.0000 0.0000
3 Tl 0.0000 0.0000 0.5000
4 Cd 0.0000 0.0000 0.0000
5 Sn 0.5000 0.5000 0.5000

size of the total moment	0.22	μB/atom
raw total energy	-3.60	eV per atom


First-principles (PBE-GGA) data for an optimized crystal structure of Ti2VCdSn, as listed in the Alexandria database.

Unit cell a=5.0702 b=5.0702 c=4.9396 alpha=90.00 beta=90.00 gamma=90.00
Fractional positions:
1 Ti 0.0000 0.5000 0.0000
2 Ti 0.5000 0.0000 0.0000
3 V 0.0000 0.0000 0.5000
4 Cd 0.5000 0.5000 0.5000
5 Sn 0.0000 0.0000 0.0000

size of the total moment	0.17	μB/atom
raw total energy	-4.93	eV per atom


First-principles (PBE-GGA) data for an optimized crystal structure of Tl2CdSn6, as listed in the Alexandria database.

Unit cell a=6.8723 b=6.8723 c=6.4929 alpha=90.05 beta=90.05 gamma=59.96
Fractional positions:
1 Tl 0.1665 0.1665 0.1513
2 Tl 0.8335 0.8335 0.8487
3 Cd 0.5000 0.5000 0.0000
4 Sn 0.1416 0.6790 0.3306
5 Sn 0.3208 0.3208 0.6693
6 Sn 0.3210 0.8584 0.6694
7 Sn 0.6790 0.1416 0.3306
8 Sn 0.6792 0.6792 0.3307
9 Sn 0.8584 0.3210 0.6694

size of the total moment	0.00	μB/atom
raw total energy	-3.26	eV per atom
excess energy over the best structure of this formula in the dataset	0.000	kcal/mol of atoms


First-principles (PBE-GGA) data for an optimized crystal structure of Tl4CdSn4, as listed in the Alexandria database.

Unit cell a=7.6707 b=7.6707 c=7.6707 alpha=95.91 beta=95.91 gamma=142.57
Fractional positions:
1 Tl 0.0000 0.3239 0.3239
2 Tl 0.0000 0.6761 0.6761
3 Tl 0.3239 0.0000 0.3239
4 Tl 0.6761 0.0000 0.6761
5 Cd 0.0000 0.0000 0.0000
6 Sn 0.3420 0.3420 0.6841
7 Sn 0.3420 0.6580 0.0000
8 Sn 0.6580 0.3420 0.0000
9 Sn 0.6580 0.6580 0.3159

size of the total moment	0.00	μB/atom
raw total energy	-2.90	eV per atom


First-principles (PBE-GGA) data for an optimized crystal structure of Tl2Cd5Sn3, as listed in the Alexandria database.

Unit cell a=4.6161 b=4.6161 c=13.4144 alpha=90.00 beta=90.00 gamma=90.00
Fractional positions:
1 Tl 0.0000 0.5000 0.2245
2 Tl 0.5000 0.0000 0.7755
3 Cd 0.0000 0.0000 0.0000
4 Cd 0.0000 0.0000 0.5000
5 Cd 0.0000 0.5000 0.8613
6 Cd 0.5000 0.0000 0.1387
7 Cd 0.5000 0.5000 0.0000
8 Sn 0.0000 0.5000 0.6448
9 Sn 0.5000 0.0000 0.3552
10 Sn 0.5000 0.5000 0.5000

size of the total moment	0.00	μB/atom
raw total energy	-2.07	eV per atom
excess energy over the best structure of this formula in the dataset	0.432	kcal/mol of atoms


First-principles (PBE-GGA) data for an optimized crystal structure of TlCdSn2, as listed in the Alexandria database.

Unit cell a=3.8015 b=3.8015 c=7.7640 alpha=90.00 beta=90.00 gamma=90.00
Fractional positions:
1 Tl 0.0000 0.0000 0.0000
2 Cd 0.0000 0.0000 0.5000
3 Sn 0.5000 0.5000 0.2875
4 Sn 0.5000 0.5000 0.7125

size of the total moment	0.00	μB/atom
raw total energy	-2.77	eV per atom
excess energy over the best structure of this formula in the dataset	0.000	kcal/mol of atoms


First-principles (PBE-GGA) data for an optimized crystal structure of TlCd2Sn, as listed in the Alexandria database.

Unit cell a=7.5175 b=7.5175 c=7.5175 alpha=90.00 beta=90.00 gamma=90.00
Fractional positions:
1 Tl 0.0000 0.0000 0.0000
2 Tl 0.0000 0.5000 0.5000
3 Tl 0.5000 0.0000 0.5000
4 Tl 0.5000 0.5000 0.0000
5 Cd 0.2500 0.2500 0.2500
6 Cd 0.2500 0.2500 0.7500
7 Cd 0.2500 0.7500 0.2500
8 Cd 0.2500 0.7500 0.7500
9 Cd 0.7500 0.2500 0.2500
10 Cd 0.7500 0.2500 0.7500
11 Cd 0.7500 0.7500 0.2500
12 Cd 0.7500 0.7500 0.7500
13 Sn 0.0000 0.0000 0.5000
14 Sn 0.0000 0.5000 0.0000
15 Sn 0.5000 0.0000 0.0000
16 Sn 0.5000 0.5000 0.5000

size of the total moment	0.00	μB/atom
raw total energy	-1.99	eV per atom
excess energy over the best structure of this formula in the dataset	0.642	kcal/mol of atoms


Calculated formation energy
In order: 0.173, -0.080, -0.148, -0.192, 0.210, 0.995, -0.094, -0.212, 0.002, 0.096, 0.221, 0.605, -0.029, 1.011, 1.034, 0.034, 0.034, 0.061, 0.054, 0.063
Unit: eV per atom
N(E_F)
In order: 4.49, 2.03, 6.03, 23.00, 2.68, 10.05, 3.93, 20.69, 13.72, 3.96, 4.63, 20.54, 3.71, 6.96, 6.15, 3.83, 2.69, 4.36, 1.06, 2.73
Unit: states/eV/f.u.